## PmPrY3Ho (PBE)

Data for a relaxed structure of PmPrY3Ho.

Results
**E**: -5.56 eV/atom
**Magnetic moment**: 0.00 μB/cell
**Energy of formation from the pure elements**: 0.02 eV per atom

a b c (Å): 8.053 8.053 10.189
angles (deg): 90.00 90.00 143.11
Fractional coordinates of all 12 atoms:
Pm  0.001  0.999  0.750
Pm  0.999  0.001  0.250
Pr  0.500  0.500  0.000
Pr  0.500  0.500  0.500
Y  0.168  0.832  0.000
Y  0.168  0.832  0.500
Y  0.332  0.668  0.750
Y  0.668  0.332  0.250
Y  0.832  0.168  0.000
Y  0.832  0.168  0.500
Ho  0.332  0.668  0.250
Ho  0.668  0.332  0.750

=====

## Sr3SmC2N6 (PBE)

Data for a relaxed structure of Sr3SmC2N6.

Results
**E**: -7.22 eV/atom
**Formation energy without anion corrections**: -816 kJ/mol of formula units
**Magnetic moment**: 0.00 μB/cell

a b c (Å): 5.668 5.668 6.684
angles (deg): 90.00 90.00 120.00
Fractional coordinates of all 12 atoms:
Sr  0.000  0.000  0.000
Sr  0.333  0.667  0.679
Sr  0.667  0.333  0.321
Sm  0.000  0.000  0.500
C  0.333  0.667  0.269
C  0.667  0.333  0.731
N  0.194  0.388  0.279
N  0.194  0.806  0.279
N  0.388  0.194  0.721
N  0.612  0.806  0.279
N  0.806  0.194  0.721
N  0.806  0.612  0.721

=====

## Ba6Pt2AuI3 (PBE)

Data for a relaxed structure of Ba6Pt2AuI3.

Results
**E**: -3.75 eV/atom
**Formation energy without anion corrections**: -1303 kJ/mol of formula units
**Magnetic moment**: 0.00 μB/cell

a b c (Å): 8.093 8.093 9.160
angles (deg): 98.47 98.47 119.99
Fractional coordinates of all 12 atoms:
Ba  0.085  0.432  0.797
Ba  0.220  0.220  0.202
Ba  0.432  0.085  0.797
Ba  0.568  0.915  0.203
Ba  0.780  0.780  0.798
Ba  0.915  0.568  0.203
Pt  0.167  0.833  0.000
Pt  0.833  0.167  0.000
Au  0.500  0.500  0.000
I  0.000  0.000  0.500
I  0.336  0.664  0.500
I  0.664  0.336  0.500

=====

## TbNd2ErTl2 (PBE)

Data for a relaxed structure of TbNd2ErTl2.

Results
**E**: -4.18 eV/atom
**Magnetic moment**: 0.00 μB/cell
**Energy of formation from the pure elements**: -0.27 eV per atom

a b c (Å): 5.150 10.197 6.893
angles (deg): 90.00 90.00 90.00
Fractional coordinates of all 12 atoms:
Tb  0.000  0.042  0.000
Tb  0.000  0.958  0.500
Nd  0.000  0.313  0.368
Nd  0.000  0.687  0.868
Nd  0.500  0.456  0.097
Nd  0.500  0.544  0.597
Er  0.500  0.185  0.718
Er  0.500  0.815  0.218
Tl  0.000  0.354  0.837
Tl  0.000  0.646  0.337
Tl  0.500  0.124  0.258
Tl  0.500  0.876  0.758

=====

## NdGdDyEr (PBE)

Data for a relaxed structure of NdGdDyEr.

Results
**E**: -6.89 eV/atom
**Magnetic moment**: 31.48 μB/cell
**Energy of formation from the pure elements**: 0.11 eV per atom

a b c (Å): 8.059 8.059 8.059
angles (deg): 90.00 90.00 90.00
Fractional coordinates of all 16 atoms:
Nd  0.000  0.000  0.000
Nd  0.000  0.500  0.500
Nd  0.500  0.000  0.500
Nd  0.500  0.500  0.000
Gd  0.000  0.000  0.500
Gd  0.000  0.500  0.000
Gd  0.500  0.000  0.000
Gd  0.500  0.500  0.500
Dy  0.250  0.250  0.750
Dy  0.250  0.750  0.250
Dy  0.750  0.250  0.250
Dy  0.750  0.750  0.750
Er  0.250  0.250  0.250
Er  0.250  0.750  0.750
Er  0.750  0.250  0.750
Er  0.750  0.750  0.250

=====

## Ti2BeBr (PBE)

Data for a relaxed structure of Ti2BeBr.

Results
**Relative energy among the computed polymorphs**: 215 meV/atom
**E**: -4.74 eV/atom
**Formation energy without anion corrections**: 213 kJ/mol of formula units
**Magnetic moment**: 0.00 μB/cell

a b c (Å): 5.386 5.386 11.548
angles (deg): 90.00 90.00 90.00
Fractional coordinates of all 16 atoms:
Ti  0.191  0.250  0.125
Ti  0.250  0.691  0.375
Ti  0.250  0.809  0.875
Ti  0.309  0.250  0.625
Ti  0.691  0.750  0.625
Ti  0.750  0.191  0.875
Ti  0.750  0.309  0.375
Ti  0.809  0.750  0.125
Be  0.000  0.000  0.000
Be  0.000  0.500  0.250
Be  0.500  0.000  0.750
Be  0.500  0.500  0.500
Br  0.000  0.000  0.500
Br  0.000  0.500  0.750
Br  0.500  0.000  0.250
Br  0.500  0.500  0.000

=====

## Li4Cd4Ag3 (PBE)

Data for a relaxed structure of Li4Cd4Ag3.

Results
**Relative energy among the computed polymorphs**: 0 meV/atom
**E**: -2.00 eV/atom
**Magnetic moment**: 0.00 μB/cell
**Energy of formation from the pure elements**: -0.19 eV per atom

a b c (Å): 2.914 4.638 14.972
angles (deg): 98.65 94.02 90.45
Fractional coordinates of all 11 atoms:
Li  0.151  0.454  0.411
Li  0.176  0.819  0.140
Li  0.824  0.181  0.860
Li  0.849  0.546  0.589
Cd  0.180  0.093  0.681
Cd  0.270  0.724  0.946
Cd  0.730  0.276  0.054
Cd  0.820  0.907  0.319
Ag  0.353  0.364  0.232
Ag  0.500  0.000  0.500
Ag  0.647  0.636  0.768

=====

## LaPr5Dy2Er (PBE)

Data for a relaxed structure of LaPr5Dy2Er.

Results
**E**: -4.45 eV/atom
**Magnetic moment**: 0.00 μB/cell
**Energy of formation from the pure elements**: 0.28 eV per atom

a b c (Å): 9.791 9.791 9.791
angles (deg): 121.88 121.88 86.77
Fractional coordinates of all 18 atoms:
La  0.250  0.250  0.000
La  0.750  0.750  0.000
Pr  0.000  0.000  0.000
Pr  0.070  0.570  0.904
Pr  0.166  0.070  0.500
Pr  0.334  0.834  0.904
Pr  0.430  0.334  0.500
Pr  0.500  0.500  0.000
Pr  0.570  0.666  0.500
Pr  0.666  0.166  0.096
Pr  0.834  0.930  0.500
Pr  0.930  0.430  0.096
Dy  0.108  0.392  0.500
Dy  0.392  0.892  0.283
Dy  0.608  0.108  0.717
Dy  0.892  0.608  0.500
Er  0.250  0.750  0.500
Er  0.750  0.250  0.500

=====

Q: Look up the magnetic moment of the second one.
A: 0.00 μB/cell